# Tb4InGa2

A relaxed Tb4InGa2 crystal (PBE, the Alexandria database).

Calculated values
- ΔH_f (0 K): -397 meV per atom
- N(E_F): 19.64 states/eV per cell
- Calculated total energy: -4.299 eV per atom

Lattice parameters (Å, degrees): 5.0885 5.0885 24.8548 90.00 90.00 120.00
Space group R-3m (No. 166, hexagonal axes)
Unique sites:
Tb  0.0000  0.0000  0.1163 x6
Tb  0.0000  0.0000  0.3695 x6
In  0.0000  0.0000  0.5000 x3
Ga  0.0000  0.0000  0.2500 x6